1.
# PBE TbScAgBi, relaxed
data_TbScAgBi
_space_group_name_H-M_alt 'F -4 3 m'
_space_group_IT_number 216
_space_group_name_Hall 'F -4 2 3'
_cell_length_a 7.344
_cell_length_b 7.344
_cell_length_c 7.344
_cell_angle_alpha 90.00
_cell_angle_beta 90.00
_cell_angle_gamma 90.00
loop_
_atom_site_label
_atom_site_type_symbol
_atom_site_fract_x
_atom_site_fract_y
_atom_site_fract_z
Tb1 Tb 0.000 0.000 0.000
Sc1 Sc 0.000 0.000 0.500
Ag1 Ag 0.250 0.250 0.250
Bi1 Bi 0.250 0.250 0.750
# raw total energy = -76.7 eV/cell
# calculated formation energy = -370 meV per atom


2.
# PBE ZrScAg2Bi, relaxed
data_ZrScAg2Bi
_space_group_name_H-M_alt 'P 4/m m m'
_space_group_IT_number 123
_space_group_name_Hall '-P 4 2'
_cell_length_a 5.220
_cell_length_b 5.220
_cell_length_c 5.442
_cell_angle_alpha 90.00
_cell_angle_beta 90.00
_cell_angle_gamma 90.00
loop_
_atom_site_label
_atom_site_type_symbol
_atom_site_fract_x
_atom_site_fract_y
_atom_site_fract_z
Zr1 Zr 0.000 0.000 0.000
Sc1 Sc 0.500 0.500 0.000
Ag1 Ag 0.000 0.500 0.500
Bi1 Bi 0.500 0.500 0.500
# raw total energy = -20.1 eV/cell
# calculated formation energy = 867 meV per atom


3.
# PBE Ag6BiSe4, relaxed
data_Ag6BiSe4
_space_group_name_H-M_alt 'P 1'
_space_group_IT_number 1
_cell_length_a 5.048
_cell_length_b 8.598
_cell_length_c 12.893
_cell_angle_alpha 90.60
_cell_angle_beta 100.84
_cell_angle_gamma 102.08
loop_
_space_group_symop_operation_xyz
'x,y,z'
loop_
_atom_site_label
_atom_site_type_symbol
_atom_site_fract_x
_atom_site_fract_y
_atom_site_fract_z
Ag1 Ag 0.000 0.000 0.000
Ag2 Ag 0.007 0.277 0.146
Ag3 Ag 0.075 0.870 0.706
Ag4 Ag 0.146 0.191 0.374
Ag5 Ag 0.273 0.582 0.635
Ag6 Ag 0.356 0.564 0.956
Ag7 Ag 0.396 0.909 0.476
Ag8 Ag 0.582 0.377 0.263
Ag9 Ag 0.619 0.807 0.820
Ag10 Ag 0.736 0.649 0.524
Ag11 Ag 0.748 0.906 0.188
Ag12 Ag 0.794 0.374 0.928
Bi1 Bi 0.125 0.224 0.680
Bi2 Bi 0.303 0.644 0.295
Se1 Se 0.033 0.451 0.436
Se2 Se 0.240 0.262 0.898
Se3 Se 0.305 0.073 0.213
Se4 Se 0.451 0.866 0.992
Se5 Se 0.549 0.053 0.670
Se6 Se 0.798 0.581 0.729
Se7 Se 0.851 0.544 0.122
Se8 Se 0.852 0.886 0.400
# formation energy without anion corrections = -4 kJ/mol of atoms
# raw total energy = -70.7 eV/cell


4.
# PBE Ag2BiSe3, relaxed
data_Ag2BiSe3
_space_group_name_H-M_alt 'P n m a'
_space_group_IT_number 62
_cell_length_a 8.342
_cell_length_b 5.685
_cell_length_c 12.475
_cell_angle_alpha 90.00
_cell_angle_beta 90.00
_cell_angle_gamma 90.00
loop_
_space_group_symop_operation_xyz
'x,y,z'
'-x,-y,-z'
'-x+1/2,-y,z+1/2'
'x+1/2,y,-z+1/2'
'x+1/2,-y+1/2,-z+1/2'
'-x+1/2,y+1/2,z+1/2'
'-x,y+1/2,-z'
'x,-y+1/2,z'
loop_
_atom_site_label
_atom_site_type_symbol
_atom_site_fract_x
_atom_site_fract_y
_atom_site_fract_z
Ag1 Ag 0.120 0.250 0.247
Ag2 Ag 0.141 0.250 0.586
Bi1 Bi 0.154 0.250 0.921
Se1 Se 0.083 0.750 0.270
Se2 Se 0.140 0.750 0.602
Se3 Se 0.143 0.750 0.933
# formation energy without anion corrections = -15 kJ/mol of atoms
# raw total energy = -83.8 eV/cell


Question: What is the raw total energy in the third record?
Answer: -70.7 eV/cell